Here is SmLuSi2 after structural relaxation from the Alexandria database. Energies are from PBE-GGA.

Structure (POSCAR):
```
SmLuSi2
1.0
4.563 0.000 0.000
2.282 3.952 0.000
2.282 1.317 5.145
Si Lu Sm
2 1 1
Direct
0.260 0.260 0.221 Si
0.740 0.740 0.779 Si
0.000 0.000 0.000 Lu
0.500 0.500 0.500 Sm
```

## Properties
formation energy without anion corrections: -191 kJ/mol of formula units
DOS(E_F): 2.101 states/eV/f.u.
space-group type: R-3m (166)
crystal system: trigonal